{"formula": "DyErPb2", "functional": "PBE", "state": "optimized geometry", "delta_e_f_mev_per_atom": -406, "total_energy_ev_per_cell": -18.2, "total_magnetization_mub_per_cell": 0.0, "spacegroup": "P4/mmm (123)", "dos_ef_per_ev_fu": 3.95, "cell": [[5.0515, 0.0000, 0.0000], [0.0000, 5.0515, 0.0000], [0.0000, 0.0000, 4.3956]], "species": ["Dy", "Er", "Pb", "Pb"], "fractional_positions": [[0.0000, 0.0000, 0.0000], [0.5000, 0.5000, 0.0000], [0.0000, 0.5000, 0.5000], [0.5000, 0.0000, 0.5000]]}

---

{"formula": "DyEr5Pb6", "functional": "PBE", "state": "optimized geometry", "delta_e_f_mev_per_atom": -405, "total_energy_ev_per_cell": -54.5, "total_magnetization_mub_per_cell": 0.0, "spacegroup": "C2/m (12)", "dos_ef_per_ev_fu": 7.41, "cell": [[3.0463, -7.6426, 0.0000], [3.0463, 7.6426, 0.0000], [-1.8160, 0.0000, 7.4516]], "species": ["Dy", "Er", "Er", "Er", "Er", "Er", "Pb", "Pb", "Pb", "Pb", "Pb", "Pb"], "fractional_positions": [[0.0000, 0.0000, 0.0000], [0.0000, 0.0000, 0.5000], [0.3325, 0.6675, 0.0000], [0.3346, 0.6654, 0.5000], [0.6654, 0.3346, 0.5000], [0.6675, 0.3325, 0.0000], [0.1668, 0.8322, 0.2517], [0.1678, 0.8332, 0.7483], [0.4971, 0.4971, 0.7515], [0.5029, 0.5029, 0.2485], [0.8322, 0.1668, 0.2517], [0.8332, 0.1678, 0.7483]]}

---

{"formula": "DyErPb2", "functional": "PBE", "state": "optimized geometry", "delta_e_f_mev_per_atom": -424, "total_energy_ev_per_cell": -73.1, "total_magnetization_mub_per_cell": 0.0, "spacegroup": "C2/c (15)", "dos_ef_per_ev_fu": 2.59, "cell": [[4.3075, -9.4767, 0.0000], [4.3075, 9.4767, 0.0000], [-1.2926, 0.0000, 5.6867]], "species": ["Dy", "Dy", "Dy", "Dy", "Er", "Er", "Er", "Er", "Pb", "Pb", "Pb", "Pb", "Pb", "Pb", "Pb", "Pb"], "fractional_positions": [[0.0635, 0.9365, 0.7500], [0.3118, 0.6882, 0.7500], [0.6882, 0.3118, 0.2500], [0.9365, 0.0635, 0.2500], [0.1868, 0.8132, 0.2500], [0.4386, 0.5614, 0.2500], [0.5614, 0.4386, 0.7500], [0.8132, 0.1868, 0.7500], [0.0650, 0.4399, 0.2457], [0.1875, 0.3126, 0.7531], [0.3126, 0.1875, 0.2531], [0.4399, 0.0650, 0.7457], [0.5601, 0.9350, 0.2543], [0.6874, 0.8125, 0.7469], [0.8125, 0.6874, 0.2469], [0.9350, 0.5601, 0.7543]]}

---

{"formula": "Dy2ErPb", "functional": "PBE", "state": "optimized geometry", "delta_e_f_mev_per_atom": 55, "total_energy_ev_per_cell": -17.3, "total_magnetization_mub_per_cell": 0.0, "spacegroup": "R3m (160)", "dos_ef_per_ev_fu": 5.30, "cell": [[2.6073, 1.5053, 5.6414], [-2.6073, 1.5053, 5.6414], [0.0000, -3.0106, 5.6414]], "species": ["Dy", "Dy", "Er", "Pb"], "fractional_positions": [[0.0000, 0.0000, 0.0000], [0.2186, 0.2186, 0.2186], [0.7823, 0.7823, 0.7823], [0.5847, 0.5847, 0.5847]]}

---

{"formula": "DyErPb2", "functional": "PBE", "state": "optimized geometry", "delta_e_f_mev_per_atom": -414, "total_energy_ev_per_cell": -18.2, "total_magnetization_mub_per_cell": 0.0, "spacegroup": "P4/mmm (123)", "dos_ef_per_ev_fu": 2.92, "cell": [[3.5404, 0.0000, 0.0000], [0.0000, 3.5404, 0.0000], [0.0000, 0.0000, 8.8980]], "species": ["Dy", "Er", "Pb", "Pb"], "fractional_positions": [[0.0000, 0.0000, 0.0000], [0.0000, 0.0000, 0.5000], [0.5000, 0.5000, 0.2519], [0.5000, 0.5000, 0.7481]]}

---

{"formula": "Dy5Er2Pb4", "functional": "PBE", "state": "optimized geometry", "delta_e_f_mev_per_atom": -100, "total_energy_ev_per_cell": -48.1, "total_magnetization_mub_per_cell": 0.0, "spacegroup": "C2/m (12)", "dos_ef_per_ev_fu": 11.51, "cell": [[13.3613, -1.7597, 0.0000], [13.3613, 1.7597, 0.0000], [-0.2310, 0.0000, 7.4230]], "species": ["Dy", "Dy", "Dy", "Dy", "Dy", "Er", "Er", "Pb", "Pb", "Pb", "Pb"], "fractional_positions": [[0.0000, 0.0000, 0.0000], [0.2624, 0.2624, 0.7917], [0.3580, 0.3580, 0.1618], [0.6420, 0.6420, 0.8382], [0.7376, 0.7376, 0.2083], [0.4117, 0.4117, 0.7105], [0.5883, 0.5883, 0.2895], [0.1740, 0.1740, 0.4923], [0.4665, 0.4665, 0.3309], [0.5335, 0.5335, 0.6691], [0.8260, 0.8260, 0.5077]]}

---

{"formula": "DyErPb2", "functional": "PBE", "state": "optimized geometry", "delta_e_f_mev_per_atom": -318, "total_energy_ev_per_cell": -17.9, "total_magnetization_mub_per_cell": 0.0, "spacegroup": "R3m (160)", "dos_ef_per_ev_fu": 1.85, "cell": [[2.3822, 1.3754, 6.5489], [-2.3822, 1.3754, 6.5489], [0.0000, -2.7507, 6.5489]], "species": ["Dy", "Er", "Pb", "Pb"], "fractional_positions": [[0.0000, 0.0000, 0.0000], [0.8214, 0.8214, 0.8214], [0.4134, 0.4134, 0.4134], [0.5783, 0.5783, 0.5783]]}

---

{"formula": "Dy7Er12Pb", "functional": "PBE", "state": "optimized geometry", "delta_e_f_mev_per_atom": 159, "total_energy_ev_per_cell": -87.5, "total_magnetization_mub_per_cell": 0.0, "spacegroup": "R-3 (148)", "dos_ef_per_ev_fu": 34.30, "cell": [[5.9462, 3.4330, 5.1551], [-5.9462, 3.4330, 5.1551], [0.0000, -6.8661, 5.1551]], "species": ["Dy", "Dy", "Dy", "Dy", "Dy", "Dy", "Dy", "Er", "Er", "Er", "Er", "Er", "Er", "Er", "Er", "Er", "Er", "Er", "Er", "Pb"], "fractional_positions": [[0.0000, 0.0000, 0.0000], [0.1099, 0.3534, 0.4287], [0.3534, 0.4287, 0.1099], [0.4287, 0.1099, 0.3534], [0.5713, 0.8901, 0.6466], [0.6466, 0.5713, 0.8901], [0.8901, 0.6466, 0.5713], [0.0011, 0.6413, 0.1147], [0.1147, 0.0011, 0.6413], [0.2411, 0.7559, 0.3659], [0.2441, 0.6341, 0.7589], [0.3587, 0.8853, 0.9989], [0.3659, 0.2411, 0.7559], [0.6341, 0.7589, 0.2441], [0.6413, 0.1147, 0.0011], [0.7559, 0.3659, 0.2411], [0.7589, 0.2441, 0.6341], [0.8853, 0.9989, 0.3587], [0.9989, 0.3587, 0.8853], [0.5000, 0.5000, 0.5000]]}

---

{"formula": "Dy2ErPb", "functional": "PBE", "state": "optimized geometry", "delta_e_f_mev_per_atom": 43, "total_energy_ev_per_cell": -17.3, "total_magnetization_mub_per_cell": 0.0, "spacegroup": "R-3m (166)", "dos_ef_per_ev_fu": 4.00, "cell": [[1.7606, 1.0165, 11.9773], [-1.7606, 1.0165, 11.9773], [0.0000, -2.0330, 11.9773]], "species": ["Dy", "Dy", "Er", "Pb"], "fractional_positions": [[0.0884, 0.0884, 0.0884], [0.9116, 0.9116, 0.9116], [0.5000, 0.5000, 0.5000], [0.0000, 0.0000, 0.0000]]}

---

{"formula": "Dy2ErPb", "functional": "PBE", "state": "optimized geometry", "delta_e_f_mev_per_atom": -271, "total_energy_ev_per_cell": -18.6, "total_magnetization_mub_per_cell": 0.0, "spacegroup": "P4/mmm (123)", "dos_ef_per_ev_fu": 5.03, "cell": [[4.8342, 0.0000, 0.0000], [0.0000, 4.8342, 0.0000], [0.0000, 0.0000, 4.8492]], "species": ["Dy", "Dy", "Er", "Pb"], "fractional_positions": [[0.0000, 0.5000, 0.0000], [0.5000, 0.0000, 0.0000], [0.0000, 0.0000, 0.5000], [0.5000, 0.5000, 0.5000]]}

---

{"formula": "DyEr4Pb5", "functional": "PBE", "state": "optimized geometry", "delta_e_f_mev_per_atom": -294, "total_energy_ev_per_cell": -44.3, "total_magnetization_mub_per_cell": 0.0, "spacegroup": "I4 (79)", "dos_ef_per_ev_fu": 8.55, "cell": [[-4.9483, 4.9483, 3.1298], [4.9483, -4.9483, 3.1298], [4.9483, 4.9483, -3.1298]], "species": ["Dy", "Er", "Er", "Er", "Er", "Pb", "Pb", "Pb", "Pb", "Pb"], "fractional_positions": [[0.0000, 0.0000, 0.0000], [0.1979, 0.5982, 0.8015], [0.3965, 0.1979, 0.5998], [0.5982, 0.7967, 0.4002], [0.7967, 0.3965, 0.1985], [0.0968, 0.2987, 0.4010], [0.2987, 0.8977, 0.2018], [0.5002, 0.5002, 0.0000], [0.6959, 0.0968, 0.7982], [0.8977, 0.6959, 0.5990]]}

---

{"formula": "Dy2Er8Pb", "functional": "PBE", "state": "optimized geometry", "delta_e_f_mev_per_atom": 51, "total_energy_ev_per_cell": -48.9, "total_magnetization_mub_per_cell": 0.0, "spacegroup": "C2/m (12)", "dos_ef_per_ev_fu": 14.96, "cell": [[9.2085, -3.3619, 0.0000], [9.2085, 3.3619, 0.0000], [-0.2414, 0.0000, 5.5966]], "species": ["Dy", "Dy", "Er", "Er", "Er", "Er", "Er", "Er", "Er", "Er", "Pb"], "fractional_positions": [[0.2204, 0.2204, 0.2593], [0.7796, 0.7796, 0.7407], [0.0515, 0.0515, 0.2305], [0.1121, 0.6367, 0.2610], [0.3249, 0.3249, 0.7700], [0.3633, 0.8879, 0.7390], [0.6367, 0.1121, 0.2610], [0.6751, 0.6751, 0.2300], [0.8879, 0.3633, 0.7390], [0.9485, 0.9485, 0.7695], [0.5000, 0.5000, 0.0000]]}